(1)
PBE Ba3CuIr, optimized geometry; energy of formation from the pure elements = 0.149 eV per atom; ΔE to the lowest computed polymorph = 0 meV per atom; density of states at the Fermi level = 0.971 states/eV/atom; space-group type = Pm-3m
1.0
6.046 0.000 0.000
0.000 6.046 0.000
0.000 0.000 6.046
Cu Ir Ba
1 1 3
Cartesian
3.023 3.023 3.023 Cu
0.000 0.000 0.000 Ir
3.023 0.000 0.000 Ba
0.000 0.000 3.023 Ba
0.000 3.023 0.000 Ba



(2)
PBE La8Ge3Te4As, optimized geometry; energy relative to the elements, uncorrected = -1.39 eV/atom; density of states at the Fermi level = 0.252 states/eV/atom; space-group type = R-3m
1.0
8.969 0.000 0.000
0.000 9.088 0.078
-4.484 -4.480 6.345
Te La As Ge
4 8 1 3
Cartesian
0.000 0.000 0.000 Te
4.484 0.000 0.000 Te
-2.242 -2.240 3.173 Te
2.242 -2.240 3.173 Te
-2.231 2.185 6.289 La
6.716 2.423 0.134 La
0.000 0.178 3.295 La
2.231 2.185 6.289 La
2.253 2.423 0.134 La
0.000 4.414 3.133 La
4.484 0.194 3.290 La
4.484 4.430 3.128 La
0.000 4.544 0.039 As
2.242 2.304 3.211 Ge
4.484 4.544 0.039 Ge
-2.242 2.304 3.211 Ge



(3)
PBE BaAcGe, optimized geometry; energy of formation from the pure elements = -0.320 eV per atom; ΔE to the lowest computed polymorph = 104 meV per atom; density of states at the Fermi level = 0.363 states/eV/atom; space-group type = P3m1
1.0
5.154 0.000 0.000
0.000 5.207 0.000
0.000 -2.603 4.509
Ge Ba Ac
1 1 1
Cartesian
0.419 0.000 0.000 Ge
3.620 2.603 1.503 Ba
1.116 0.000 3.006 Ac



(4)
PBE CaN3F, optimized geometry; energy relative to the elements, uncorrected = 1.85 eV/atom; density of states at the Fermi level = 0.737 states/eV/atom; space-group type = Pm-3m
1.0
-0.736 -0.030 3.706
3.661 -0.594 0.722
0.577 3.731 0.145
N F Ca
3 1 1
Cartesian
-0.368 -0.015 1.853 N
0.289 1.866 0.073 N
1.830 -0.297 0.361 N
0.000 0.000 0.000 F
1.751 1.553 2.287 Ca



(5)
PBE CeCr6C4, optimized geometry; energy of formation from the pure elements = 0.028 eV per atom; density of states at the Fermi level = 0.662 states/eV/atom; space-group type = P-6m2
1.0
2.872 0.000 0.000
0.000 5.770 -3.331
0.000 0.000 6.662
Ce Cr C
1 6 4
Cartesian
0.000 0.000 0.000 Ce
0.000 3.128 1.244 Cr
0.000 5.283 0.000 Cr
0.000 3.128 -1.244 Cr
1.436 1.185 2.053 Cr
1.436 3.399 3.331 Cr
1.436 1.185 4.609 Cr
1.436 4.676 1.437 C
0.000 1.923 3.331 C
1.436 4.676 -1.437 C
1.436 2.188 0.000 C



(6)
PBE InPt2Au, optimized geometry; energy of formation from the pure elements = -0.197 eV per atom; density of states at the Fermi level = 0.300 states/eV/atom; space-group type = Cm
1.0
5.075 -0.003 0.006
4.177 2.882 0.006
0.992 0.309 4.766
Pt In Au
2 1 1
Cartesian
0.027 0.008 0.065 Pt
7.631 2.374 3.522 Pt
2.593 0.807 1.097 In
5.116 1.592 2.483 Au



(7)
PBE Na3Ag4Pb, optimized geometry; energy of formation from the pure elements = 0.033 eV per atom; density of states at the Fermi level = 0.253 states/eV/atom; space-group type = Imm2
1.0
6.711 -0.276 -0.695
-3.545 5.705 0.695
-3.456 -1.622 5.570
Pb Ag Na
1 4 3
Cartesian
-2.897 1.689 4.036 Pb
-1.096 0.639 2.054 Ag
-3.190 3.909 2.262 Ag
-5.008 2.920 5.554 Ag
1.738 0.575 1.567 Ag
-0.027 0.016 4.783 Na
2.685 -1.566 4.021 Na
0.460 3.369 1.870 Na



(8)
PBE TiSiRh4, optimized geometry; energy relative to the elements, uncorrected = -0.53 eV/atom; density of states at the Fermi level = 0.603 states/eV/atom; space-group type = C2/m
1.0
-1.775 -3.625 0.324
2.074 -3.144 1.483
-1.927 -0.718 6.723
Ti Rh Si
1 4 1
Cartesian
-0.814 -3.743 4.265 Ti
-1.592 -3.152 6.619 Rh
-0.036 -4.335 1.910 Rh
-1.191 -1.276 4.502 Rh
-0.437 -6.211 4.028 Rh
0.000 0.000 0.000 Si



(9)
PBE HgTeBr2, optimized geometry; ΔE to the lowest computed polymorph = 117 meV per atom; energy relative to the elements, uncorrected = -0.09 eV/atom; density of states at the Fermi level = 0.011 states/eV/atom; space-group type = P2/m
1.0
3.960 0.000 0.000
0.000 4.788 0.080
0.000 1.280 8.429
Te Br Hg
1 2 1
Cartesian
1.980 4.551 6.382 Te
0.000 5.589 8.069 Br
0.000 3.512 4.694 Br
1.980 1.517 2.127 Hg



(10)
PBE LiHoBeAl, optimized geometry; energy of formation from the pure elements = -0.136 eV per atom; density of states at the Fermi level = 0.344 states/eV/atom; space-group type = F-43m
1.0
-2.338 -3.706 -1.081
-1.186 -2.938 3.215
-4.327 -0.377 1.228
Ho Be Li Al
1 1 1 1
Cartesian
-3.926 -3.510 1.681 Ho
-5.888 -5.266 2.522 Be
-1.963 -1.755 0.841 Li
0.000 0.000 0.000 Al



(11)
PBE Na4NiH5, optimized geometry; raw total energy = -28.85 eV per cell; density of states at the Fermi level = 0.218 states/eV/atom; space-group type = I4
1.0
5.090 0.000 0.000
2.545 4.942 0.000
2.545 0.000 4.942
H Na Ni
5 4 1
Cartesian
1.883 0.000 0.000 H
5.060 0.822 1.405 H
7.605 1.405 4.121 H
2.515 3.537 0.822 H
5.060 4.121 3.537 H
2.689 0.848 1.956 Na
5.234 2.986 0.848 Na
5.234 1.956 4.094 Na
7.779 4.094 2.986 Na
0.261 0.000 0.000 Ni



(12)
PBE Zr2Ag2Au, optimized geometry; energy of formation from the pure elements = 0.159 eV per atom; ΔE to the lowest computed polymorph = 172 meV per atom; density of states at the Fermi level = 0.623 states/eV/atom; space-group type = P4/mbm
1.0
8.442 0.000 0.000
0.000 8.442 0.000
0.000 0.000 2.923
Au Zr Ag
2 4 4
Cartesian
0.000 0.000 0.000 Au
4.221 4.221 0.000 Au
1.487 2.734 0.000 Zr
6.955 5.708 0.000 Zr
2.734 6.955 0.000 Zr
5.708 1.487 0.000 Zr
5.230 7.433 1.462 Ag
3.212 1.009 1.462 Ag
1.009 5.230 1.462 Ag
7.433 3.212 1.462 Ag



(13)
PBE Mg3Zn5Ga2, optimized geometry; energy of formation from the pure elements = -0.032 eV per atom; ΔE to the lowest computed polymorph = 0 meV per atom; density of states at the Fermi level = 0.238 states/eV/atom; space-group type = C2/c
1.0
-4.959 -1.225 2.039
2.201 -5.846 2.002
3.983 7.502 6.696
Zn Mg Ga
10 6 4
Cartesian
0.191 1.333 8.702 Zn
1.644 -0.513 7.481 Zn
1.364 3.660 9.226 Zn
-2.900 0.328 4.270 Zn
1.647 4.629 6.767 Zn
-0.419 0.944 3.257 Zn
-0.421 -4.199 3.970 Zn
1.035 -0.903 2.035 Zn
4.126 0.102 6.468 Zn
-0.139 -3.229 1.512 Zn
4.938 1.340 9.188 Mg
-0.716 0.658 6.105 Mg
1.090 3.075 4.466 Mg
1.941 -0.228 4.632 Mg
0.135 -2.645 6.272 Mg
-3.713 -0.909 1.550 Mg
2.101 -2.892 3.478 Ga
2.319 2.039 6.889 Ga
-1.093 -1.608 3.848 Ga
-0.876 3.322 7.259 Ga



(14)
PBE Cu2OsAu, optimized geometry; energy of formation from the pure elements = 0.228 eV per atom; ΔE to the lowest computed polymorph = 0 meV per atom; density of states at the Fermi level = 0.564 states/eV/atom; space-group type = R-3m
1.0
9.043 0.018 0.011
8.627 2.712 0.011
8.627 1.333 2.361
Au Os Cu
1 1 2
Cartesian
19.724 3.047 1.787 Au
6.575 1.016 0.596 Os
13.244 2.046 1.200 Cu
26.203 4.048 2.374 Cu



(15)
PBE Ac2Cd17, optimized geometry; energy of formation from the pure elements = -0.191 eV per atom; density of states at the Fermi level = 0.212 states/eV/atom; space-group type = R-3m
1.0
-2.611 -3.430 6.468
-1.616 -6.936 -3.115
6.612 -3.568 1.992
Cd Ac
17 2
Cartesian
0.070 -8.312 0.400 Cd
0.238 -1.392 0.534 Cd
2.147 -12.541 4.811 Cd
0.119 -3.471 5.143 Cd
3.306 -1.784 0.996 Cd
-1.910 -5.898 -0.278 Cd
0.820 -5.939 -1.603 Cd
-0.411 -6.619 5.027 Cd
-1.656 -7.247 2.479 Cd
-1.305 -1.715 3.234 Cd
4.176 -4.565 0.480 Cd
2.316 -5.621 4.945 Cd
-2.316 -4.467 3.631 Cd
-0.808 -3.468 -1.557 Cd
2.796 -7.314 0.318 Cd
3.882 -3.527 3.317 Cd
4.042 -6.686 2.866 Cd
0.798 -4.663 1.789 Ac
1.587 -9.270 3.556 Ac



(16)
PBE Tl2AgAu, optimized geometry; energy of formation from the pure elements = 0.111 eV per atom; ΔE to the lowest computed polymorph = 82 meV per atom; density of states at the Fermi level = 0.320 states/eV/atom; space-group type = R3m
1.0
-2.667 1.645 -7.875
-5.675 -0.114 -6.294
-5.117 3.625 -5.702
Ag Tl Au
1 2 1
Cartesian
-6.625 2.537 -9.780 Ag
-0.163 0.063 -0.241 Tl
-3.221 1.234 -4.755 Tl
-10.179 3.899 -15.028 Au



(17)
PBE Tb5HoPb5, optimized geometry; energy of formation from the pure elements = -0.279 eV per atom; density of states at the Fermi level = 0.796 states/eV/atom; space-group type = C2/m
1.0
-1.310 3.005 -5.355
-6.875 -0.691 4.976
3.252 6.087 2.619
Pb Tb Ho
5 5 1
Cartesian
-3.528 6.072 0.589 Pb
-1.406 2.329 1.651 Pb
0.186 5.334 2.948 Pb
-0.655 1.502 -2.677 Pb
-5.120 3.066 -0.707 Pb
-2.909 4.614 3.301 Tb
1.626 3.043 1.310 Tb
-0.421 6.824 0.251 Tb
-2.024 3.787 -1.061 Tb
-4.513 1.576 1.989 Tb
0.000 0.000 0.000 Ho



(18)
PBE UH3Cl6O2, optimized geometry; raw total energy = -47.94 eV per cell; density of states at the Fermi level = 0.515 states/eV/atom; space-group type = C2/m
1.0
8.050 0.000 -1.020
0.000 6.209 0.000
-2.979 -3.105 5.968
Cl O H U
6 2 3 1
Cartesian
5.430 1.621 0.663 Cl
2.804 3.105 3.065 Cl
2.268 0.000 1.883 Cl
-0.358 -1.483 4.285 Cl
-0.358 1.483 4.285 Cl
5.430 4.588 0.663 Cl
4.261 0.000 4.145 O
0.810 3.105 0.803 O
0.000 3.105 0.000 H
2.536 1.552 2.474 H
2.536 -1.552 2.474 H
4.025 0.000 -0.510 U



(19)
PBE HoTiTlO4, optimized geometry; energy relative to the elements, uncorrected = -2.68 eV/atom; density of states at the Fermi level = 0.000 states/eV/atom; space-group type = P2_1/m
1.0
-4.609 0.222 3.803
-1.478 -5.657 -1.461
6.004 -2.562 3.849
O Tl Ho Ti
8 2 2 2
Cartesian
0.028 -5.591 2.976 O
2.007 -3.331 4.653 O
0.307 -6.383 0.139 O
-0.111 -2.406 3.216 O
-1.058 -4.172 5.392 O
-2.090 -4.666 1.539 O
-0.389 -1.614 6.053 O
0.975 -3.825 0.800 O
1.233 -6.442 5.056 Tl
-1.316 -1.555 1.136 Tl
-2.152 -5.220 3.746 Ho
2.070 -2.777 2.446 Ho
-0.312 -5.070 1.302 Ti
0.229 -2.927 4.890 Ti



(20)
PBE Zr2TeP, optimized geometry; ΔE to the lowest computed polymorph = 1137 meV per atom; energy relative to the elements, uncorrected = -0.01 eV/atom; density of states at the Fermi level = 1.079 states/eV/atom; space-group type = F-43m
1.0
-1.492 -0.834 4.583
0.094 3.611 3.298
-4.186 1.957 1.603
Zr P Te
2 1 1
Cartesian
-1.396 1.184 2.371 Zr
0.000 0.000 0.000 Zr
-2.792 2.367 4.742 P
-4.188 3.551 7.113 Te